Entry 1:
Density functional theory data (PBE-GGA) for K3CuSe2O8 after structural relaxation. Values from VASP.

```
&SYSTEM
  ibrav = 0, nat = 14, ntyp = 4
/
ATOMIC_SPECIES
K 39.10 K.upf
Cu 63.55 Cu.upf
Se 78.96 Se.upf
O 16.00 O.upf
CELL_PARAMETERS angstrom
5.8150 0.0000 0.0000
-2.9075 5.0359 0.0000
0.0000 0.0000 7.5642
ATOMIC_POSITIONS angstrom
K 0.0000 0.0000 0.0000
K 0.0000 3.3573 5.0769
K 2.9075 1.6786 2.4874
Cu 0.0000 0.0000 3.7821
Se 0.0000 3.3573 1.7924
Se 2.9075 1.6786 5.7718
O 0.0000 1.7611 2.3943
O -1.3823 4.1554 2.3943
O 0.0000 3.3573 0.1296
O 1.5252 0.8806 5.1700
O 1.3823 4.1554 2.3943
O 2.9075 1.6786 7.4347
O 4.2898 0.8806 5.1700
O 2.9075 3.2748 5.1700
```

## Properties
Energy: -4.9871 eV per atom
E_form (uncorrected): -1.128 eV/atom
Space group: P-3m1, No. 164



Entry 2:
Density functional theory data (PBE-GGA) for TmAlZnRh after structural relaxation. Values from VASP.

```
&SYSTEM
  ibrav = 0, nat = 16, ntyp = 4
/
ATOMIC_SPECIES
Tm 168.93 Tm.upf
Al 26.98 Al.upf
Zn 65.41 Zn.upf
Rh 102.91 Rh.upf
CELL_PARAMETERS angstrom
6.5038 0.0000 0.0000
0.0000 6.5038 0.0000
0.0000 0.0000 6.5038
ATOMIC_POSITIONS angstrom
Tm 0.0000 0.0000 0.0000
Tm 0.0000 3.2519 3.2519
Tm 3.2519 0.0000 3.2519
Tm 3.2519 3.2519 0.0000
Al 0.0000 0.0000 3.2519
Al 0.0000 3.2519 0.0000
Al 3.2519 0.0000 0.0000
Al 3.2519 3.2519 3.2519
Zn 1.6259 1.6259 1.6259
Zn 1.6259 4.8778 4.8778
Zn 4.8778 1.6259 4.8778
Zn 4.8778 4.8778 1.6259
Rh 1.6259 1.6259 4.8778
Rh 1.6259 4.8778 1.6259
Rh 4.8778 1.6259 1.6259
Rh 4.8778 4.8778 4.8778
```

## Properties
Energy: -4.7887 eV per atom
ΔE_f: -0.5788 eV per atom
Space group: F-43m, No. 216



Entry 3:
Density functional theory data (PBE-GGA) for Ca7Hg3 after structural relaxation. Values from VASP.

```
&SYSTEM
  ibrav = 0, nat = 20, ntyp = 2
/
ATOMIC_SPECIES
Ca 40.08 Ca.upf
Hg 200.59 Hg.upf
CELL_PARAMETERS angstrom
10.7263 0.0000 0.0000
-5.3632 9.2893 0.0000
0.0000 0.0000 6.8437
ATOMIC_POSITIONS angstrom
Ca -2.0452 5.0120 0.0000
Ca 0.0000 2.3169 4.9466
Ca -3.3566 8.1308 4.9466
Ca 2.0065 1.1585 1.5247
Ca 0.0000 6.1928 3.6130
Ca 2.0452 5.0120 0.0000
Ca 0.0000 8.5545 0.0000
Ca 5.3632 0.7348 3.4219
Ca 3.3180 4.2772 3.4219
Ca 5.3632 3.0964 0.1912
Ca 3.3566 8.1308 4.9466
Ca 8.7198 1.1585 1.5247
Ca 5.3632 6.9723 1.5247
Ca 7.4084 4.2772 3.4219
Hg 0.0000 3.5523 1.9733
Hg -2.2867 7.5131 1.9733
Hg 3.0764 1.7762 5.3952
Hg 2.2868 7.5131 1.9733
Hg 7.6499 1.7762 5.3952
Hg 5.3632 5.7369 5.3952
```

## Properties
Energy: -1.8440 eV per atom
ΔE_f: -0.3523 eV per atom
Space group: P6_3mc, No. 186



Entry 4:
Density functional theory data (PBE-GGA) for Dy2YAg after structural relaxation. Values from VASP.

```
&SYSTEM
  ibrav = 0, nat = 16, ntyp = 3
/
ATOMIC_SPECIES
Dy 162.50 Dy.upf
Y 88.91 Y.upf
Ag 107.87 Ag.upf
CELL_PARAMETERS angstrom
6.9297 0.0000 0.0000
0.0000 9.7845 0.0000
0.0000 0.0000 6.7548
ATOMIC_POSITIONS angstrom
Dy 1.4151 0.4921 1.3516
Dy 1.4151 4.4001 1.3516
Dy 2.0497 5.3843 4.7290
Dy 2.0497 9.2924 4.7290
Dy 4.8800 0.4921 2.0258
Dy 4.8800 4.4001 2.0258
Dy 5.5145 5.3843 5.4032
Dy 5.5145 9.2924 5.4032
Y 0.0392 2.4461 4.1050
Y 3.4256 7.3383 0.7276
Y 3.5040 2.4461 6.0272
Y 6.8905 7.3383 2.6498
Ag 0.4954 7.3383 6.5251
Ag 2.9694 2.4461 3.1477
Ag 3.9603 7.3383 3.6071
Ag 6.4343 2.4461 0.2297
```

## Properties
Relative energy among the computed polymorphs: 11 meV per atom
Energy: -4.7503 eV per atom
ΔE_f: -0.1204 eV per atom
Space group: Pnma, No. 62



Entry 5:
Density functional theory data (PBE-GGA) for Ac2BeAs after structural relaxation. Values from VASP.

```
&SYSTEM
  ibrav = 0, nat = 16, ntyp = 3
/
ATOMIC_SPECIES
Ac 227.00 Ac.upf
Be 9.01 Be.upf
As 74.92 As.upf
CELL_PARAMETERS angstrom
7.6604 0.0000 0.0000
0.0000 7.6604 0.0000
0.0000 0.0000 7.6604
ATOMIC_POSITIONS angstrom
Ac 1.9151 1.9151 1.9151
Ac 1.9151 1.9151 5.7453
Ac 1.9151 5.7453 1.9151
Ac 1.9151 5.7453 5.7453
Ac 5.7453 1.9151 1.9151
Ac 5.7453 1.9151 5.7453
Ac 5.7453 5.7453 1.9151
Ac 5.7453 5.7453 5.7453
Be 0.0000 0.0000 0.0000
Be 0.0000 3.8302 3.8302
Be 3.8302 0.0000 3.8302
Be 3.8302 3.8302 0.0000
As 0.0000 0.0000 3.8302
As 0.0000 3.8302 0.0000
As 3.8302 0.0000 0.0000
As 3.8302 3.8302 3.8302
```

## Properties
Relative energy among the computed polymorphs: 88 meV per atom
Energy: -4.4053 eV per atom
ΔE_f: -0.2571 eV per atom
Space group: Fm-3m, No. 225



Entry 6:
Density functional theory data (PBE-GGA) for Ce2ThSc6 after structural relaxation. Values from VASP.

```
&SYSTEM
  ibrav = 0, nat = 9, ntyp = 3
/
ATOMIC_SPECIES
Ce 140.12 Ce.upf
Th 232.04 Th.upf
Sc 44.96 Sc.upf
CELL_PARAMETERS angstrom
4.2983 -8.1874 0.0000
4.2983 8.1874 0.0000
-0.5442 0.0000 3.3553
ATOMIC_POSITIONS angstrom
Ce 4.2983 5.3207 0.0000
Ce 4.2983 -5.3207 0.0000
Th -0.2721 0.0000 1.6777
Sc 2.5119 2.6548 2.1730
Sc 2.8667 0.0000 0.5457
Sc 2.5119 -2.6548 2.1730
Sc 5.5405 2.6548 1.1823
Sc 5.1857 0.0000 2.8096
Sc 5.5405 -2.6548 1.1823
```

## Properties
Relative energy among the computed polymorphs: 0 meV per atom
Energy: -6.2303 eV per atom
ΔE_f: 0.1338 eV per atom
Space group: C2/m, No. 12



Entry 7:
Density functional theory data (PBE-GGA) for Mg2CoNi after structural relaxation. Values from VASP.

```
&SYSTEM
  ibrav = 0, nat = 8, ntyp = 3
/
ATOMIC_SPECIES
Mg 24.30 Mg.upf
Co 58.93 Co.upf
Ni 58.69 Ni.upf
CELL_PARAMETERS angstrom
2.9009 0.0000 0.0000
0.0000 4.4014 0.0000
0.0000 0.0000 9.1545
ATOMIC_POSITIONS angstrom
Mg 0.0000 0.0000 0.0000
Mg 0.0000 2.2007 1.9601
Mg 1.4505 0.0000 6.5373
Mg 1.4505 2.2007 4.5773
Co 0.0000 0.0000 4.2071
Co 1.4505 2.2007 8.7844
Ni 0.0000 2.2007 6.8720
Ni 1.4505 0.0000 2.2947
```

## Properties
Relative energy among the computed polymorphs: 27 meV per atom
Energy: -3.9718 eV per atom
ΔE_f: 0.0473 eV per atom
Space group: Imm2, No. 44



Entry 8:
Density functional theory data (PBE-GGA) for BePtCl2 after structural relaxation. Values from VASP.

```
&SYSTEM
  ibrav = 0, nat = 4, ntyp = 3
/
ATOMIC_SPECIES
Be 9.01 Be.upf
Pt 195.08 Pt.upf
Cl 35.45 Cl.upf
CELL_PARAMETERS angstrom
2.8400 0.0000 0.0000
0.0000 2.8400 0.0000
0.0000 0.0000 10.6989
ATOMIC_POSITIONS angstrom
Be 0.0000 0.0000 0.0000
Pt 0.0000 0.0000 5.3495
Cl 1.4200 1.4200 1.4182
Cl 1.4200 1.4200 9.2807
```

## Properties
Relative energy among the computed polymorphs: 756 meV per atom
Energy: -3.0449 eV per atom
E_form (uncorrected): 0.320 eV/atom
Space group: P4/mmm, No. 123



Entry 9:
Density functional theory data (PBE-GGA) for MgSbIr2 after structural relaxation. Values from VASP.

```
&SYSTEM
  ibrav = 0, nat = 8, ntyp = 3
/
ATOMIC_SPECIES
Mg 24.30 Mg.upf
Sb 121.76 Sb.upf
Ir 192.22 Ir.upf
CELL_PARAMETERS angstrom
3.8992 0.0000 0.0000
0.0000 3.8992 0.0000
0.0000 0.0000 8.6833
ATOMIC_POSITIONS angstrom
Mg 0.0000 0.0000 0.0000
Mg 1.9496 1.9496 4.3417
Sb 0.0000 1.9496 2.1708
Sb 1.9496 0.0000 6.5125
Ir 0.0000 0.0000 4.3417
Ir 0.0000 1.9496 6.5125
Ir 1.9496 0.0000 2.1708
Ir 1.9496 1.9496 0.0000
```

## Properties
Energy: -5.9533 eV per atom
E_form (uncorrected): -0.094 eV/atom
Space group: I-4m2, No. 119



Entry 10:
Density functional theory data (PBE-GGA) for AlAsIr after structural relaxation. Values from VASP.

```
&SYSTEM
  ibrav = 0, nat = 12, ntyp = 3
/
ATOMIC_SPECIES
Al 26.98 Al.upf
As 74.92 As.upf
Ir 192.22 Ir.upf
CELL_PARAMETERS angstrom
5.9190 0.0000 0.0000
0.0000 5.9190 0.0000
0.0000 0.0000 5.9190
ATOMIC_POSITIONS angstrom
Al 0.0000 0.0000 0.0000
Al 0.0000 2.9595 2.9595
Al 2.9595 0.0000 2.9595
Al 2.9595 2.9595 0.0000
As 1.4798 1.4798 4.4393
As 1.4798 4.4393 1.4798
As 4.4393 1.4798 1.4798
As 4.4393 4.4393 4.4393
Ir 1.4798 1.4798 1.4798
Ir 1.4798 4.4393 4.4393
Ir 4.4393 1.4798 4.4393
Ir 4.4393 4.4393 1.4798
```

## Properties
Energy: -5.7183 eV per atom
ΔE_f: 0.0327 eV per atom
Space group: F-43m, No. 216



Entry 11:
Density functional theory data (PBE-GGA) for PmDy2Pb after structural relaxation. Values from VASP.

```
&SYSTEM
  ibrav = 0, nat = 4, ntyp = 3
/
ATOMIC_SPECIES
Pm 145.00 Pm.upf
Dy 162.50 Dy.upf
Pb 207.20 Pb.upf
CELL_PARAMETERS angstrom
4.9019 0.0000 0.0000
0.0000 4.9019 0.0000
0.0000 0.0000 4.8732
ATOMIC_POSITIONS angstrom
Pm 0.0000 0.0000 0.0000
Dy 0.0000 2.4510 2.4366
Dy 2.4510 0.0000 2.4366
Pb 2.4510 2.4510 0.0000
```

## Properties
Relative energy among the computed polymorphs: 0 meV per atom
Energy: -4.7100 eV per atom
ΔE_f: -0.2942 eV per atom
Space group: P4/mmm, No. 123



Entry 12:
Density functional theory data (PBE-GGA) for Ba3Cd2Pd4 after structural relaxation. Values from VASP.

```
&SYSTEM
  ibrav = 0, nat = 9, ntyp = 3
/
ATOMIC_SPECIES
Ba 137.33 Ba.upf
Cd 112.41 Cd.upf
Pd 106.42 Pd.upf
CELL_PARAMETERS angstrom
5.7268 -2.3673 0.0000
5.7268 2.3673 0.0000
-1.5175 0.0000 9.2028
ATOMIC_POSITIONS angstrom
Ba 0.0000 0.0000 0.0000
Ba 3.3584 0.0000 5.6851
Ba 6.5778 0.0000 3.5177
Cd 3.3563 0.0000 2.0026
Cd 6.5798 0.0000 7.2002
Pd 0.0079 0.0000 5.8377
Pd 1.6149 0.0000 8.4076
Pd 8.3212 0.0000 0.7951
Pd 9.9282 0.0000 3.3651
```

## Properties
Relative energy among the computed polymorphs: 0 meV per atom
Energy: -3.6717 eV per atom
ΔE_f: -0.5195 eV per atom
Space group: C2/m, No. 12



Entry 13:
Density functional theory data (PBE-GGA) for DyScBr after structural relaxation. Values from VASP.

```
&SYSTEM
  ibrav = 0, nat = 3, ntyp = 3
/
ATOMIC_SPECIES
Dy 162.50 Dy.upf
Sc 44.96 Sc.upf
Br 79.90 Br.upf
CELL_PARAMETERS angstrom
3.6043 0.0000 0.0000
-1.8021 3.1214 0.0000
0.0000 0.0000 6.9818
ATOMIC_POSITIONS angstrom
Dy 0.0000 0.0000 0.0000
Sc 1.8021 1.0405 2.5028
Br 0.0000 2.0809 4.6289
```

## Properties
Relative energy among the computed polymorphs: 0 meV per atom
Energy: -4.8819 eV per atom
E_form (uncorrected): -0.680 eV/atom
Space group: P3m1, No. 156